No. 1
Entry from the Alexandria database: a geometry-optimized YMg4Tl structure (PBE-GGA).

a b c (Å): 6.010 6.010 6.010
angles (deg): 60.00 60.00 60.00
Element x y z (fractional)
Tl: 0.750 0.750 0.750
Mg: 0.374 0.374 0.877
Mg: 0.374 0.374 0.374
Mg: 0.877 0.374 0.374
Mg: 0.374 0.877 0.374
Y: 0.000 0.000 0.000

- symmetry = No. 216
- E_tot (eV per cell) = -15.20
- formation energy (eV/atom) = 0.00

No. 2
Entry from the Alexandria database: a geometry-optimized LiZn6Pd structure (PBE-GGA).

a b c (Å): 5.213 5.213 5.213
angles (deg): 82.37 82.37 82.37
Element x y z (fractional)
Zn: 0.843 0.843 0.474
Zn: 0.157 0.157 0.526
Zn: 0.157 0.526 0.157
Zn: 0.843 0.474 0.843
Zn: 0.474 0.843 0.843
Zn: 0.526 0.157 0.157
Pd: 0.000 0.000 0.000
Li: 0.500 0.500 0.500

- symmetry = No. 166
- E_tot (eV per cell) = -15.28
- formation energy (eV/atom) = -0.07
- offset from the most stable computed form (meV per atom) = 154

No. 3
Entry from the Alexandria database: a geometry-optimized TlCd2Pb2 structure (PBE-GGA).

a b c (Å): 4.155 4.155 9.175
angles (deg): 76.91 76.91 90.00
Element x y z (fractional)
Tl: 0.000 0.000 0.000
Cd: 0.750 0.250 0.500
Cd: 0.250 0.750 0.500
Pb: 0.392 0.392 0.215
Pb: 0.608 0.608 0.785

- symmetry = No. 139
- E_tot (eV per cell) = -11.18
- formation energy (eV/atom) = 0.09
- offset from the most stable computed form (meV per atom) = 36

No. 4
Entry from the Alexandria database: a geometry-optimized Mn2HgSb structure (PBE-GGA).

a b c (Å): 4.851 4.851 4.851
angles (deg): 60.00 60.00 60.00
Element x y z (fractional)
Sb: 0.750 0.750 0.750
Hg: 0.500 0.500 0.500
Mn: 0.000 0.000 0.000
Mn: 0.250 0.250 0.250

- symmetry = No. 216
- E_tot (eV per cell) = -20.31
- formation energy (no corrections) (eV/atom) = 0.613
- offset from the most stable computed form (meV per atom) = 367

No. 5
Entry from the Alexandria database: a geometry-optimized PmSm7Tl5 structure (PBE-GGA).

a b c (Å): 6.692 8.461 8.461
angles (deg): 79.86 66.71 66.71
Element x y z (fractional)
Sm: 0.312 0.688 0.688
Sm: 0.515 0.794 0.176
Sm: 0.274 0.226 0.226
Sm: 0.999 0.663 0.339
Sm: 0.999 0.339 0.663
Sm: 0.636 0.364 0.364
Sm: 0.515 0.176 0.794
Pm: 0.974 0.026 0.026
Tl: 0.006 0.482 0.001
Tl: 0.511 0.482 0.001
Tl: 0.511 0.001 0.482
Tl: 0.742 0.758 0.758
Tl: 0.006 0.001 0.482

- symmetry = No. 44
- E_tot (eV per cell) = -51.95
- formation energy (eV/atom) = -0.18

No. 6
Entry from the Alexandria database: a geometry-optimized Dy2YPt9 structure (PBE-GGA).

a b c (Å): 4.122 4.122 12.364
angles (deg): 90.00 90.00 90.00
Element x y z (fractional)
Y: 0.000 0.000 0.000
Pt: 0.500 0.500 0.666
Pt: 0.500 0.500 0.000
Pt: 0.500 0.000 0.167
Pt: 0.500 0.000 0.500
Pt: 0.500 0.000 0.833
Pt: 0.000 0.500 0.167
Pt: 0.500 0.500 0.334
Pt: 0.000 0.500 0.500
Pt: 0.000 0.500 0.833
Dy: 0.000 0.000 0.666
Dy: 0.000 0.000 0.334

- symmetry = No. 123
- E_tot (eV per cell) = -82.33
- formation energy (eV/atom) = -1.02
- offset from the most stable computed form (meV per atom) = 0

No. 7
Entry from the Alexandria database: a geometry-optimized Tm2MnGa structure (PBE-GGA).

a b c (Å): 3.290 3.290 10.543
angles (deg): 81.02 81.02 60.00
Element x y z (fractional)
Ga: 0.500 0.500 0.500
Tm: 0.094 0.094 0.719
Tm: 0.906 0.906 0.281
Mn: 0.000 0.000 0.000

- symmetry = No. 166
- E_tot (eV per cell) = -19.88
- formation energy (eV/atom) = 0.31
- offset from the most stable computed form (meV per atom) = 541

No. 8
Entry from the Alexandria database: a geometry-optimized FeCo structure (PBE-GGA).

a b c (Å): 7.772 7.772 7.772
angles (deg): 153.83 153.83 37.34
Element x y z (fractional)
Co: 0.250 0.750 0.500
Co: 0.750 0.250 0.500
Co: 0.630 0.630 0.000
Co: 0.370 0.370 0.000
Fe: 0.000 0.500 0.500
Fe: 0.500 0.000 0.500
Fe: 0.870 0.870 0.000
Fe: 0.130 0.130 0.000

- symmetry = No. 139
- E_tot (eV per cell) = -62.00
- formation energy (eV/atom) = 0.03